## KV2SiO8 (PBE+U)

Data for crystalline KV2SiO8 at its relaxed geometry.

Its crystal system is trigonal. The space group is P-3m1 (164). The electronic total energy is -7.03 eV/atom.

a = 5.379 Å, b = 5.379 Å, c = 7.437 Å
α = 90.00°, β = 90.00°, γ = 120.00°
Fractional coordinates of all 12 atoms:
K1 0.000 0.000 0.000
V1 0.333 0.667 0.714
V2 0.667 0.333 0.286
Si1 0.000 0.000 0.500
O1 0.154 0.307 0.640
O2 0.154 0.846 0.640
O3 0.307 0.154 0.360
O4 0.333 0.667 0.938
O5 0.667 0.333 0.062
O6 0.693 0.846 0.640
O7 0.846 0.154 0.360
O8 0.846 0.693 0.360